#P
Compound: TlRe2Ru
Source: Alexandria via LeMat-Bulk
Functional: PBE
Structure: optimized geometry

Summary:
- Size of the total moment: 0.00 μB per atom

Cell lengths 9.355, 9.355, 9.355 Å; angles 17.71, 17.71, 17.71 degrees
Atoms (fractional coordinates):
Tl (0.000, 0.000, 0.000)
Re (0.241, 0.241, 0.241)
Re (0.498, 0.498, 0.498)
Ru (0.755, 0.755, 0.755)

#Q
Compound: TlRe2Ru
Source: Alexandria via LeMat-Bulk
Functional: PBE
Structure: optimized geometry

Summary:
- Size of the total moment: 0.00 μB per atom

Cell lengths 2.821, 2.821, 8.280 Å; angles 90.00, 90.00, 90.00 degrees
Atoms (fractional coordinates):
Tl (0.000, 0.000, 0.000)
Re (0.500, 0.500, 0.278)
Re (0.500, 0.500, 0.722)
Ru (0.000, 0.000, 0.500)

#R
Compound: TlRe2Ru
Source: Alexandria via LeMat-Bulk
Functional: PBE
Structure: optimized geometry

Summary:
- Size of the total moment: 0.00 μB per atom

Cell lengths 3.805, 3.805, 4.538 Å; angles 90.00, 90.00, 90.00 degrees
Atoms (fractional coordinates):
Tl (0.000, 0.000, 0.000)
Re (0.000, 0.500, 0.500)
Re (0.500, 0.000, 0.500)
Ru (0.500, 0.500, 0.000)

#S
Compound: TlRe2Ru
Source: Alexandria via LeMat-Bulk
Functional: PBE
Structure: optimized geometry

Summary:
- Size of the total moment: 0.00 μB per atom

Cell lengths 2.857, 3.923, 5.954 Å; angles 90.00, 90.00, 90.00 degrees
Atoms (fractional coordinates):
Tl (0.000, 0.000, 0.000)
Re (0.000, 0.000, 0.497)
Re (0.500, 0.500, 0.308)
Ru (0.500, 0.500, 0.739)

Last place for stability: #R

#P
Compound: TlReRu2
Source: Alexandria via LeMat-Bulk
Functional: PBE
Structure: optimized geometry

Summary:
- Size of the total moment: 0.49 μB per atom

Cell lengths 4.512, 4.512, 4.512 Å; angles 60.00, 60.00, 60.00 degrees
Atoms (fractional coordinates):
Tl (0.000, 0.000, 0.000)
Re (0.500, 0.500, 0.500)
Ru (0.250, 0.250, 0.250)
Ru (0.750, 0.750, 0.750)

#Q
Compound: TlReRu2
Source: Alexandria via LeMat-Bulk
Functional: PBE
Structure: optimized geometry

Summary:
- Size of the total moment: 0.00 μB per atom

Cell lengths 5.371, 5.371, 5.371 Å; angles 147.83, 127.05, 63.32 degrees
Atoms (fractional coordinates):
Tl (0.000, 0.000, 0.000)
Re (0.500, 0.500, 0.000)
Ru (0.262, 0.762, 0.500)
Ru (0.738, 0.238, 0.500)

#R
Compound: TlReRu2
Source: Alexandria via LeMat-Bulk
Functional: PBE
Structure: optimized geometry

Summary:
- Size of the total moment: 0.00 μB per atom

Cell lengths 2.858, 2.858, 7.964 Å; angles 90.00, 90.00, 90.00 degrees
Atoms (fractional coordinates):
Tl (0.000, 0.000, 0.000)
Re (0.500, 0.500, 0.288)
Ru (0.000, 0.000, 0.503)
Ru (0.500, 0.500, 0.732)

Last place for stability: #Q

#P
Compound: TlReRu2
Source: Alexandria via LeMat-Bulk
Functional: PBE
Structure: optimized geometry

Summary:
- Size of the total moment: 0.00 μB per atom

Cell lengths 9.338, 9.338, 9.338 Å; angles 17.63, 17.63, 17.63 degrees
Atoms (fractional coordinates):
Tl (0.000, 0.000, 0.000)
Re (0.759, 0.759, 0.759)
Ru (0.245, 0.245, 0.245)
Ru (0.502, 0.502, 0.502)

#Q
Compound: TlReRu2
Source: Alexandria via LeMat-Bulk
Functional: PBE
Structure: optimized geometry

Summary:
- Size of the total moment: 0.44 μB per atom

Cell lengths 4.516, 4.516, 4.516 Å; angles 60.00, 60.00, 60.00 degrees
Atoms (fractional coordinates):
Tl (0.000, 0.000, 0.000)
Re (0.750, 0.750, 0.750)
Ru (0.250, 0.250, 0.250)
Ru (0.500, 0.500, 0.500)

Last place for stability: #Q